Entry 1:
Density functional theory data (PBE) for crystalline AgGeAs2O8 at its relaxed geometry.

```
AgGeAs2O8
1.0
-2.194 -0.475 4.286
-4.174 -2.427 0.326
1.936 -7.770 2.861
O As Ge Ag
8 2 1 1
direct
0.312 0.312 0.063 O
0.254 0.864 0.345 O
0.136 0.746 0.655 O
0.688 0.688 0.937 O
0.746 0.463 0.655 O
0.864 0.537 0.345 O
0.537 0.254 0.345 O
0.463 0.136 0.655 O
0.759 0.759 0.724 As
0.241 0.241 0.276 As
0.500 0.500 0.500 Ge
0.000 0.000 0.000 Ag
```

Results
E_form (uncorrected): -0.851 eV per atom

***

Entry 2:
Density functional theory data (PBE) for crystalline InGe2Sb at its relaxed geometry.

```
InGe2Sb
1.0
3.397 1.272 3.592
-1.376 0.040 4.916
1.801 -3.560 3.184
Ge In Sb
2 1 1
direct
0.250 0.250 0.250 Ge
0.750 0.750 0.750 Ge
0.000 0.000 0.000 In
0.500 0.500 0.500 Sb
```

Results
E_form (uncorrected): 0.267 eV per atom
Relative energy among the computed polymorphs: 0.180 eV/atom

***

Entry 3:
Density functional theory data (PBE) for crystalline Cd2CuAs at its relaxed geometry.

```
Cd2CuAs
1.0
5.232 -0.025 0.000
1.859 4.891 0.000
-3.546 -2.433 2.981
As Cd Cu
1 2 1
direct
0.750 0.250 0.500 As
0.250 0.750 0.500 Cd
0.000 0.000 0.000 Cd
0.500 0.500 0.000 Cu
```

Results
Raw total energy: -2.471 eV/atom